DFT (PBE) results for crystalline Ni2OsAu at its relaxed geometry.

Values from the calculation:
M_tot = 0.00 μB per cell
Formation energy from the elements = 180.8 meV/atom
Excess energy over the best structure of this formula in the dataset = 0.19 eV per formula unit

Cell lengths 8.7432, 8.7432, 8.7432 Å; angles 17.87, 17.87, 17.87 degrees
Atoms (fractional coordinates):
Ni 0.2454 0.2454 0.2454
Ni 0.7546 0.7546 0.7546
Os 0.5000 0.5000 0.5000
Au 0.0000 0.0000 0.0000

***

DFT (PBE) results for crystalline Al3CdB at its relaxed geometry.

Values from the calculation:
M_tot = 0.00 μB per cell
Formation energy from the elements = 1618.8 meV/atom
Excess energy over the best structure of this formula in the dataset = 6.56 eV per formula unit

Cell lengths 5.0053, 5.0053, 5.0053 Å; angles 90.00, 90.00, 90.00 degrees
Atoms (fractional coordinates):
Al 0.0000 0.0000 0.5000
Al 0.0000 0.5000 0.0000
Al 0.5000 0.0000 0.0000
Cd 0.0000 0.0000 0.0000
B 0.5000 0.5000 0.5000

***

DFT (PBE) results for crystalline MgMnPt at its relaxed geometry.

Values from the calculation:
M_tot = 8.20 μB per cell
Formation energy from the elements = -324.2 meV/atom

Cell lengths 4.9654, 4.9654, 4.7268 Å; angles 90.00, 90.00, 123.31 degrees
Atoms (fractional coordinates):
Mg 0.0906 0.9094 0.7500
Mg 0.9094 0.0906 0.2500
Mn 0.4058 0.5942 0.7500
Mn 0.5942 0.4058 0.2500
Pt 0.2558 0.7442 0.2500
Pt 0.7442 0.2558 0.7500

***

DFT (PBE) results for crystalline LiZn4Ir at its relaxed geometry.

Values from the calculation:
M_tot = 0.00 μB per cell
Formation energy from the elements = -211.2 meV/atom
Excess energy over the best structure of this formula in the dataset = 0.00 eV per formula unit

Cell lengths 4.1843, 4.2226, 5.2494 Å; angles 90.00, 113.38, 90.00 degrees
Atoms (fractional coordinates):
Li 0.0000 0.0000 0.0000
Zn 0.1645 0.5000 0.3296
Zn 0.3426 0.0000 0.6854
Zn 0.6574 0.0000 0.3146
Zn 0.8355 0.5000 0.6704
Ir 0.5000 0.5000 0.0000

***

DFT (PBE) results for crystalline CeNpIr4 at its relaxed geometry.

Values from the calculation:
M_tot = 3.95 μB per cell
Formation energy from the elements = -598.5 meV/atom

Cell lengths 5.3723, 5.3723, 5.3723 Å; angles 60.00, 60.00, 60.00 degrees
Atoms (fractional coordinates):
Ce 0.0000 0.0000 0.0000
Np 0.2500 0.2500 0.2500
Ir 0.1259 0.6247 0.6247
Ir 0.6247 0.1259 0.6247
Ir 0.6247 0.6247 0.1259
Ir 0.6247 0.6247 0.6247

***

DFT (PBE) results for crystalline CdSnPt2 at its relaxed geometry.

Values from the calculation:
M_tot = 0.00 μB per cell
Formation energy from the elements = -301.8 meV/atom

Cell lengths 4.5815, 4.5815, 3.4583 Å; angles 90.00, 90.00, 90.00 degrees
Atoms (fractional coordinates):
Cd 0.0000 0.0000 0.0000
Sn 0.5000 0.5000 0.0000
Pt 0.0000 0.5000 0.5000
Pt 0.5000 0.0000 0.5000

***

Calculated density, 15.2; 2.7; 9.4; 9.0; 17.4; 14.2 g/cm³ (same order as the records).